Here is crystalline CoOsPt2 at its relaxed geometry from Alexandria via LeMat-Bulk. Energies are from PBE-GGA.

Properties
Calculated total energy = -7.52 eV per atom
Size of the total moment = 2.6 μB per formula unit
ΔE_f = 0.084 eV per atom
Theoretical density = 18.54 Mg/m³
Energy above the most stable polymorph in this dataset = 1.625 kcal/mol of atoms

The structure in POSCAR format:
```
CoOsPt2
1.0
2.704 -3.920 0.000
2.704 3.920 0.000
0.000 0.000 2.702
Co Os Pt
1 1 2
Cartesian
0.000 0.000 0.000
2.704 0.000 0.000
1.352 1.960 1.351
1.352 -1.960 1.351
```

---

Here is crystalline CoOs2Pt at its relaxed geometry from Alexandria via LeMat-Bulk. Energies are from PBE-GGA.

Properties
Calculated total energy = -8.76 eV per atom
Size of the total moment = 1.3 μB per formula unit
ΔE_f = 0.144 eV per atom
Theoretical density = 19.13 Mg/m³
Energy above the most stable polymorph in this dataset = 1.261 kcal/mol of atoms

The structure in POSCAR format:
```
CoOs2Pt
1.0
-1.905 1.905 3.795
1.905 -1.905 3.795
1.905 1.905 -3.795
Co Os Pt
1 2 1
Cartesian
0.000 0.000 0.000
1.905 0.000 1.897
0.000 0.000 3.795
0.000 1.905 1.897
```

---

Here is crystalline CoOs2Pt at its relaxed geometry from Alexandria via LeMat-Bulk. Energies are from PBE-GGA.

Properties
Calculated total energy = -8.68 eV per atom
Size of the total moment = 1.2 μB per formula unit
ΔE_f = 0.218 eV per atom
Theoretical density = 19.08 Mg/m³
Energy above the most stable polymorph in this dataset = 2.973 kcal/mol of atoms

The structure in POSCAR format:
```
CoOs2Pt
1.0
3.776 0.000 0.000
0.000 3.776 0.000
0.000 0.000 3.872
Co Os Pt
1 2 1
Cartesian
0.000 0.000 0.000
0.000 1.888 1.936
1.888 0.000 1.936
1.888 1.888 0.000
```

---

Here is crystalline CoOsPt2 at its relaxed geometry from Alexandria via LeMat-Bulk. Energies are from PBE-GGA.

Properties
Calculated total energy = -7.43 eV per atom
Size of the total moment = 1.9 μB per formula unit
ΔE_f = 0.170 eV per atom
Theoretical density = 18.72 Mg/m³
Energy above the most stable polymorph in this dataset = 3.593 kcal/mol of atoms

The structure in POSCAR format:
```
CoOsPt2
1.0
3.810 0.000 0.000
0.000 3.810 0.000
0.000 0.000 3.908
Co Os Pt
1 1 2
Cartesian
0.000 0.000 0.000
1.905 1.905 0.000
0.000 1.905 1.954
1.905 0.000 1.954
```

---

Here is crystalline CoOs2Pt at its relaxed geometry from Alexandria via LeMat-Bulk. Energies are from PBE-GGA.

Properties
Calculated total energy = -8.73 eV per atom
Size of the total moment = 1.2 μB per formula unit
ΔE_f = 0.176 eV per atom
Theoretical density = 18.97 Mg/m³
Energy above the most stable polymorph in this dataset = 2.006 kcal/mol of atoms

The structure in POSCAR format:
```
CoOs2Pt
1.0
1.348 0.779 8.815
-1.348 0.779 8.815
0.000 -1.557 8.815
Co Os Pt
1 2 1
Cartesian
0.000 0.000 0.000
0.000 0.000 6.771
0.000 0.000 19.675
0.000 0.000 13.223
```

---

Here is crystalline CoOs2Pt at its relaxed geometry from Alexandria via LeMat-Bulk. Energies are from PBE-GGA.

Properties
Calculated total energy = -8.44 eV per atom
Size of the total moment = 1.9 μB per formula unit
ΔE_f = 0.463 eV per atom
Theoretical density = 18.38 Mg/m³
Energy above the most stable polymorph in this dataset = 8.634 kcal/mol of atoms

The structure in POSCAR format:
```
CoOs2Pt
1.0
1.351 -2.305 0.000
1.351 2.305 0.000
0.000 0.000 9.205
Co Os Pt
1 2 1
Cartesian
0.000 0.000 0.000
1.351 0.000 2.147
1.351 0.000 7.058
0.000 0.000 4.603
```

---

Here is crystalline CoOsPt at its relaxed geometry from Alexandria via LeMat-Bulk. Energies are from PBE-GGA.

Properties
Calculated total energy = -8.04 eV per atom
Size of the total moment = 0.8 μB per formula unit
ΔE_f = 0.085 eV per atom
Theoretical density = 18.15 Mg/m³
Energy above the most stable polymorph in this dataset = 0.000 kcal/mol of atoms

The structure in POSCAR format:
```
CoOsPt
1.0
-1.347 1.347 5.599
1.347 -1.347 5.599
1.347 1.347 -5.599
Co Os Pt
1 1 1
Cartesian
0.000 0.000 0.000
0.000 0.000 7.244
0.000 0.000 3.670
```

---

Here is crystalline CoOsPt2 at its relaxed geometry from Alexandria via LeMat-Bulk. Energies are from PBE-GGA.

Properties
Calculated total energy = -7.50 eV per atom
Size of the total moment = 1.8 μB per formula unit
ΔE_f = 0.106 eV per atom
Theoretical density = 18.66 Mg/m³
Energy above the most stable polymorph in this dataset = 2.124 kcal/mol of atoms

The structure in POSCAR format:
```
CoOsPt2
1.0
2.729 0.000 0.000
0.000 3.882 0.000
0.000 0.000 5.369
Co Os Pt
1 1 2
Cartesian
0.000 0.000 0.000
0.000 0.000 2.685
1.365 1.941 1.333
1.365 1.941 4.037
```

---

Here is crystalline CoOs2Pt at its relaxed geometry from Alexandria via LeMat-Bulk. Energies are from PBE-GGA.

Properties
Calculated total energy = -8.33 eV per atom
Size of the total moment = 2.4 μB per formula unit
ΔE_f = 0.572 eV per atom
Theoretical density = 18.57 Mg/m³
Energy above the most stable polymorph in this dataset = 11.151 kcal/mol of atoms

The structure in POSCAR format:
```
CoOs2Pt
1.0
0.000 3.050 3.050
3.050 0.000 3.050
3.050 3.050 0.000
Co Os Pt
1 2 1
Cartesian
0.000 0.000 0.000
1.525 1.525 1.525
4.575 4.575 4.575
3.050 3.050 3.050
```

---

Here is crystalline CoOsPt2 at its relaxed geometry from Alexandria via LeMat-Bulk. Energies are from PBE-GGA.

Properties
Calculated total energy = -7.38 eV per atom
Size of the total moment = 1.7 μB per formula unit
ΔE_f = 0.224 eV per atom
Theoretical density = 18.37 Mg/m³
Energy above the most stable polymorph in this dataset = 4.848 kcal/mol of atoms

The structure in POSCAR format:
```
CoOsPt2
1.0
-1.350 2.286 4.682
1.350 -2.286 4.682
1.350 2.286 -4.682
Co Os Pt
1 1 2
Cartesian
0.000 0.000 0.000
0.000 2.286 2.659
1.350 0.000 2.228
0.000 0.000 4.858
```

---

Here is crystalline Co4OsPt at its relaxed geometry from Alexandria via LeMat-Bulk. Energies are from PBE-GGA.

Properties
Calculated total energy = -7.44 eV per atom
Size of the total moment = 8.7 μB per formula unit
ΔE_f = 0.173 eV per atom
Theoretical density = 13.88 Mg/m³

The structure in POSCAR format:
```
Co4OsPt
1.0
0.000 3.337 3.337
3.337 0.000 3.337
3.337 3.337 0.000
Co Os Pt
4 1 1
Cartesian
0.834 0.834 0.834
2.503 2.503 0.834
2.503 0.834 2.503
0.834 2.503 2.503
5.006 5.006 5.006
3.337 3.337 3.337
```

---

Here is crystalline CoOsPt2 at its relaxed geometry from Alexandria via LeMat-Bulk. Energies are from PBE-GGA.

Properties
Calculated total energy = -7.59 eV per atom
Size of the total moment = 1.5 μB per formula unit
ΔE_f = 0.014 eV per atom
Theoretical density = 18.66 Mg/m³
Energy above the most stable polymorph in this dataset = 0.000 kcal/mol of atoms

The structure in POSCAR format:
```
CoOsPt2
1.0
1.360 0.785 8.880
-1.360 0.785 8.880
0.000 -1.570 8.880
Co Os Pt
1 1 2
Cartesian
0.000 0.000 0.000
0.000 0.000 19.743
0.000 0.000 6.741
0.000 0.000 13.182
```